1.
Entry from the Alexandria database: SbTeCl2 after structural relaxation (GGA-PBE).

Lattice parameters (Å, degrees): 3.4575 3.4575 30.2658 90.00 90.00 120.00
Space group R-3m (No. 166, hexagonal axes)
Inequivalent atoms, fractional coordinates:
Sb: 0.0000 0.0000 0.0000 [3 per cell]
Te: 0.0000 0.0000 0.5000 [3 per cell]
Cl: 0.0000 0.0000 0.4128 [6 per cell]

Results
Energy above the most stable polymorph in this dataset, meV/atom: 409
Formation energy (no corrections), meV/atom: -121

***

2.
Entry from the Alexandria database: NiAsC after structural relaxation (GGA-PBE).

Lattice parameters (Å, degrees): 2.8033 3.1266 8.8124 90.00 90.00 90.00
Space group Amm2 (No. 38)
Inequivalent atoms, fractional coordinates:
Ni: 0.0000 0.0000 0.0000 [2 per cell]
As: 0.5000 0.0000 0.7814 [2 per cell]
C: 0.5000 0.0000 0.1471 [2 per cell]

Results
Energy above the most stable polymorph in this dataset, meV/atom: 0
Energy of formation, eV/f.u.: 1.7

***

3.
Entry from the Alexandria database: LaOsAu2 after structural relaxation (GGA-PBE).

Lattice parameters (Å, degrees): 3.0155 3.0155 30.0202 90.00 90.00 120.00
Space group R3m (No. 160, hexagonal axes)
Inequivalent atoms, fractional coordinates:
La: 0.0000 0.0000 0.0000 [3 per cell]
Os: 0.0000 0.0000 0.7528 [3 per cell]
Au: 0.0000 0.0000 0.2399 [3 per cell]
Au: 0.0000 0.0000 0.4944 [3 per cell]

Results
Energy of formation, eV/f.u.: 1.9